# 1
# LaReAs2 | the Alexandria database | meta-GGA SCAN | single point on PBEsol structure
data_LaReAs2
_chemical_formula_sum 'La3 Re3 As6'
_space_group_name_H-M_alt 'R 3 m'
_space_group_IT_number 160
_space_group_name_Hall 'R 3 -2"'
_cell_length_a 4.1649
_cell_length_b 4.1649
_cell_length_c 16.8291
_cell_angle_alpha 90.00
_cell_angle_beta 90.00
_cell_angle_gamma 120.00
loop_
_atom_site_label
_atom_site_fract_x
_atom_site_fract_y
_atom_site_fract_z
La1 0.0000 0.0000 0.0000
Re1 0.0000 0.0000 0.8122
As1 0.0000 0.0000 0.2167
As2 0.0000 0.0000 0.4413
# - formation enthalpy at 0 K (meV/atom) = -569.0
# - calculated volume (Å³/atom) = 21.068
# - DOS at the Fermi energy (states/eV per cell) = 5.46

# 2
# Mn2ZnMo | the Alexandria database | meta-GGA SCAN | single point on PBEsol structure
data_Mn2ZnMo
_chemical_formula_sum 'Mn2 Zn1 Mo1'
_space_group_name_H-M_alt 'P 1 2/m 1'
_space_group_IT_number 10
_cell_length_a 2.5350
_cell_length_b 4.1239
_cell_length_c 4.8472
_cell_angle_alpha 90.00
_cell_angle_beta 97.12
_cell_angle_gamma 90.00
loop_
_space_group_symop_operation_xyz
'x,y,z'
'-x,-y,-z'
'-x,y,-z'
'x,-y,z'
loop_
_atom_site_label
_atom_site_fract_x
_atom_site_fract_y
_atom_site_fract_z
Mn1 0.2302 0.0000 0.2483
Zn1 0.5000 0.5000 0.0000
Mo1 0.0000 0.5000 0.5000
# - formation enthalpy at 0 K (meV/atom) = 122.4
# - calculated volume (Å³/atom) = 12.571
# - DOS at the Fermi energy (states/eV per cell) = 3.73

# 3
# ZrNbOs2Ru | the Alexandria database | meta-GGA SCAN | single point on PBEsol structure
data_ZrNbOs2Ru
_chemical_formula_sum 'Zr1 Nb1 Os2 Ru1'
_space_group_name_H-M_alt 'P 4/m m m'
_space_group_IT_number 123
_space_group_name_Hall '-P 4 2'
_cell_length_a 4.6195
_cell_length_b 4.6195
_cell_length_c 4.8201
_cell_angle_alpha 90.00
_cell_angle_beta 90.00
_cell_angle_gamma 90.00
loop_
_atom_site_label
_atom_site_fract_x
_atom_site_fract_y
_atom_site_fract_z
Zr1 0.0000 0.0000 0.0000
Nb1 0.0000 0.0000 0.5000
Os1 0.0000 0.5000 0.5000
Ru1 0.5000 0.5000 0.0000
# - formation enthalpy at 0 K (meV/atom) = 1990.3
# - calculated volume (Å³/atom) = 20.572
# - DOS at the Fermi energy (states/eV per cell) = 4.39

# 4
# Mg2Ta2FeO8 | the Alexandria database | meta-GGA SCAN | single point on PBEsol structure
data_Mg2Ta2FeO8
_chemical_formula_sum 'Mg8 Ta8 Fe4 O32'
_space_group_name_H-M_alt 'C 1 2/c 1'
_space_group_IT_number 15
_cell_length_a 18.8588
_cell_length_b 5.9433
_cell_length_c 5.1356
_cell_angle_alpha 90.00
_cell_angle_beta 90.33
_cell_angle_gamma 90.00
loop_
_space_group_symop_operation_xyz
'x,y,z'
'-x,-y,-z'
'-x,y,-z+1/2'
'x,-y,z+1/2'
'x+1/2,y+1/2,z'
'-x+1/2,-y+1/2,-z'
'-x+1/2,y+1/2,-z+1/2'
'x+1/2,-y+1/2,z+1/2'
loop_
_atom_site_label
_atom_site_fract_x
_atom_site_fract_y
_atom_site_fract_z
Mg1 0.2272 0.1430 0.2539
Ta1 0.1155 0.3403 0.7494
Fe1 0.0000 0.1245 0.2500
O1 0.0592 0.1296 0.9131
O2 0.0699 0.3833 0.4103
O3 0.1861 0.4009 0.0444
O4 0.1909 0.1459 0.6186
# - electronic total energy (eV per atom) = -19.04
# - calculated volume (Å³/atom) = 11.070
# - DOS at the Fermi energy (states/eV per cell) = 0.11

# 5
# SbTe2Pt | the Alexandria database | meta-GGA SCAN | single point on PBEsol structure
data_SbTe2Pt
_chemical_formula_sum 'Sb2 Te4 Pt2'
_space_group_name_H-M_alt 'C 1 m 1'
_space_group_IT_number 8
_cell_length_a 11.4354
_cell_length_b 3.7913
_cell_length_c 5.5235
_cell_angle_alpha 90.00
_cell_angle_beta 117.69
_cell_angle_gamma 90.00
loop_
_space_group_symop_operation_xyz
'x,y,z'
'x,-y,z'
'x+1/2,y+1/2,z'
'x+1/2,-y+1/2,z'
loop_
_atom_site_label
_atom_site_fract_x
_atom_site_fract_y
_atom_site_fract_z
Sb1 0.0000 0.0000 0.0000
Te1 0.1341 0.0000 0.6520
Te2 0.3328 0.0000 0.3705
Pt1 0.1847 0.5000 0.0354
# - electronic total energy (eV per atom) = -45.62
# - calculated volume (Å³/atom) = 26.504
# - DOS at the Fermi energy (states/eV per cell) = 2.92

# 6
# MnC2O6 | the Alexandria database | meta-GGA SCAN | single point on PBEsol structure
data_MnC2O6
_chemical_formula_sum 'Mn2 C4 O12'
_space_group_name_H-M_alt 'P 1 21/c 1'
_space_group_IT_number 14
_cell_length_a 4.9831
_cell_length_b 6.8838
_cell_length_c 7.5675
_cell_angle_alpha 90.00
_cell_angle_beta 103.16
_cell_angle_gamma 90.00
loop_
_space_group_symop_operation_xyz
'x,y,z'
'-x,-y,-z'
'-x,y+1/2,-z+1/2'
'x,-y+1/2,z+1/2'
loop_
_atom_site_label
_atom_site_fract_x
_atom_site_fract_y
_atom_site_fract_z
Mn1 0.0000 0.0000 0.0000
C1 0.1029 0.2028 0.7820
O1 0.1286 0.7109 0.6665
O2 0.1802 0.1841 0.1703
O3 0.2637 0.0635 0.8601
# - energy relative to the lowest polymorph listed for this composition (meV/atom) = 63
# - calculated volume (Å³/atom) = 14.042
# - DOS at the Fermi energy (states/eV per cell) = 0.00

# 7
# Zr2TlNi | the Alexandria database | meta-GGA SCAN | single point on PBEsol structure
data_Zr2TlNi
_chemical_formula_sum 'Zr2 Tl1 Ni1'
_space_group_name_H-M_alt 'P 4/m m m'
_space_group_IT_number 123
_space_group_name_Hall '-P 4 2'
_cell_length_a 3.0459
_cell_length_b 3.0459
_cell_length_c 8.0857
_cell_angle_alpha 90.00
_cell_angle_beta 90.00
_cell_angle_gamma 90.00
loop_
_atom_site_label
_atom_site_fract_x
_atom_site_fract_y
_atom_site_fract_z
Zr1 0.0000 0.0000 0.2095
Tl1 0.5000 0.5000 0.5000
Ni1 0.5000 0.5000 0.0000
# - formation enthalpy at 0 K (meV/atom) = -264.9
# - energy relative to the lowest polymorph listed for this composition (meV/atom) = 0
# - calculated volume (Å³/atom) = 18.754
# - DOS at the Fermi energy (states/eV per cell) = 4.39

# 8
# LaCd2Cl | the Alexandria database | meta-GGA SCAN | single point on PBEsol structure
data_LaCd2Cl
_chemical_formula_sum 'La2 Cd4 Cl2'
_space_group_name_H-M_alt 'C m m m'
_space_group_IT_number 65
_space_group_name_Hall '-C 2 2'
_cell_length_a 3.8243
_cell_length_b 5.6044
_cell_length_c 9.4152
_cell_angle_alpha 90.00
_cell_angle_beta 90.00
_cell_angle_gamma 90.00
loop_
_atom_site_label
_atom_site_fract_x
_atom_site_fract_y
_atom_site_fract_z
La1 0.0000 0.0000 0.0000
Cd1 0.0000 0.5000 0.2801
Cl1 0.0000 0.0000 0.5000
# - energy relative to the lowest polymorph listed for this composition (meV/atom) = 260
# - calculated volume (Å³/atom) = 25.224
# - DOS at the Fermi energy (states/eV per cell) = 3.59

Which of these has the highest DOS at the Fermi energy?
LaReAs2

calculated volume of number 1 (LaReAs2)?
21.068 Å³/atom